Entry from Alexandria: a PBEsol-optimized structure of BaLiMg3 (SCAN).

Properties
- Energy relative to the lowest polymorph listed for this composition: 0.0 kJ per mole of atoms
- D(E_F): 4.0 states/eV/cell
- Energy of formation: 36 kJ/mol of formula units

Lattice parameters (Å, degrees): 5.226 5.226 5.226 90.00 90.00 90.00
Space group Pm-3m (No. 221)
Asymmetric unit:
1 Ba 0.000 0.000 0.000 x1
2 Li 0.500 0.500 0.500 x1
3 Mg 0.000 0.500 0.500 x3